Compound: ReGe2RhF
Source: Alexandria
Functional: GGA-PBEsol
Structure: relaxed

abc: 4.7066 4.7066 3.8473
angles: 90.00 90.00 90.00
Last column: nearest neighbours and their distance in Å.
Space group P4/mmm (No. 123)
One atom of each set of equivalent atoms:
Re 0.0000 0.0000 0.0000  8 Ge 3.04, 4 F 3.33
Ge 0.0000 0.5000 0.5000  2 Rh 2.35
Rh 0.5000 0.5000 0.5000  2 F 1.92
F 0.5000 0.5000 0.0000  2 Rh 1.92

ΔE_f (raw)	3.38	eV/f.u.



Compound: Na4CrO4
Source: Alexandria
Functional: GGA-PBEsol
Structure: relaxed

abc: 5.6761 5.6778 8.6032
angles: 71.09 80.89 68.37
Last column: nearest neighbours and their distance in Å.
Space group P-1 (No. 2)
One atom of each set of equivalent atoms:
Na 0.2349 0.1063 0.1805  4 O 2.32-2.35
Na 0.2347 0.9782 0.5679  5 O 2.35-2.43
Na 0.2531 0.7409 0.9869  4 O 2.29-2.32
Na 0.2593 0.5516 0.3972  5 O 2.36-2.46
Cr 0.2204 0.3443 0.7562  4 O 1.75-1.79
O 0.0266 0.6616 0.6395  1 Cr 1.78
O 0.0300 0.1372 0.8030  1 Cr 1.79
O 0.3488 0.3510 0.9267  1 Cr 1.75
O 0.4720 0.2034 0.6237  1 Cr 1.79

ΔE_f (raw)	-15.12	eV/f.u.



Compound: MnAu2
Source: Alexandria
Functional: GGA-PBEsol
Structure: relaxed

abc: 4.4705 4.4705 2.7731
angles: 90.00 90.00 120.00
Last column: nearest neighbours and their distance in Å.
Space group P-3m1 (No. 164)
One atom of each set of equivalent atoms:
Mn 0.0000 0.0000 0.0000  6 Au 2.72, 2 Mn 2.77
Au 0.3333 0.6667 0.6960  3 Mn 2.72, 5 Au 2.77-2.80

calculated formation energy	97.7	meV/atom
energy above the most stable polymorph in this dataset	0.139	eV/atom